# 1
AgRh2W PBE relaxed; energy of formation = 0.50 eV/atom; energy = -7.131 eV per atom; total moment = 0.00 μB/atom; polymorph energy (0 for the lowest one) = 2.14 eV per formula unit; crystal system = cubic
1.0
3.5112 -2.3808 1.3131
-0.3384 -4.4077 0.4226
2.0728 -2.6722 -2.8782
Ag Rh W
1 2 1
Cartesian
2.6228 -4.7303 -0.5713
0.0000 0.0000 0.0000
3.9342 -7.0955 -0.8569
1.3114 -2.3652 -0.2856


# 2
AgRhW2 PBE relaxed; energy of formation = 0.48 eV/atom; energy = -8.548 eV per atom; total moment = 0.00 μB/atom; polymorph energy (0 for the lowest one) = 1.06 eV per formula unit; crystal system = orthorhombic
1.0
4.6779 -1.5833 2.7638
1.8211 2.8180 4.5574
-3.8564 -3.1448 -2.6956
Ag Rh W
1 1 2
Cartesian
3.3365 0.6339 3.7586
2.1653 -2.0307 2.0107
6.4207 1.2199 7.2331
0.4684 0.1189 2.6050


# 3
AgRhW4 PBE relaxed; energy of formation = 0.58 eV/atom; energy = -9.753 eV per atom; total moment = 0.00 μB/atom; crystal system = cubic
1.0
0.0000 3.7125 3.7125
3.7125 0.0000 3.7125
3.7125 3.7125 0.0000
Ag Rh W
1 1 4
Cartesian
5.5688 5.5688 5.5688
0.0000 0.0000 0.0000
2.7918 4.6332 4.6332
4.6332 4.6332 2.7918
4.6332 2.7918 4.6332
2.7918 2.7918 2.7918


# 4
AgRh3W PBE relaxed; energy of formation = 2.26 eV/atom; energy = -5.307 eV per atom; total moment = 0.00 μB/atom; polymorph energy (0 for the lowest one) = 6.12 eV per formula unit; crystal system = cubic
1.0
-1.8225 1.3657 4.0550
-2.1849 -4.0866 0.3944
3.6789 -1.7505 2.2430
Rh Ag W
3 1 1
Cartesian
-1.0924 -2.0433 0.1972
1.8395 -0.8752 1.1215
-0.9112 0.6828 2.0275
0.0000 0.0000 0.0000
-0.1642 -2.2357 3.3462